Record 1
An optimized crystal structure of LiTaCd3, computed with PBE.

Output
Formation energy (kcal/mol of atoms): 21.05

```
data_LiTaCd3
_space_group_name_H-M_alt 'P m -3 m'
_space_group_IT_number 221
_space_group_name_Hall '-P 4 2 3'
_cell_length_a 5.4700
_cell_length_b 5.4700
_cell_length_c 5.4700
_cell_angle_alpha 90.00
_cell_angle_beta 90.00
_cell_angle_gamma 90.00
loop_
_atom_site_label
_atom_site_type_symbol
_atom_site_fract_x
_atom_site_fract_y
_atom_site_fract_z
Li1 Li 0.0000 0.0000 0.0000
Ta1 Ta 0.5000 0.5000 0.5000
Cd1 Cd 0.0000 0.5000 0.5000
```



Record 2
An optimized crystal structure of LiTa2Cd, computed with PBE.

Output
Formation energy (kcal/mol of atoms): 2.80

```
data_LiTa2Cd
_space_group_name_H-M_alt 'C m m 2'
_space_group_IT_number 35
_space_group_name_Hall 'C 2 -2'
_cell_length_a 3.4026
_cell_length_b 4.5878
_cell_length_c 9.6180
_cell_angle_alpha 90.00
_cell_angle_beta 90.00
_cell_angle_gamma 90.00
loop_
_atom_site_label
_atom_site_type_symbol
_atom_site_fract_x
_atom_site_fract_y
_atom_site_fract_z
Li1 Li 0.0000 0.0000 0.0000
Ta1 Ta 0.0000 0.0000 0.4927
Ta2 Ta 0.0000 0.5000 0.2627
Cd1 Cd 0.0000 0.5000 0.7550
```



Record 3
An optimized crystal structure of LiTaCd, computed with PBE.

Output
Formation energy (kcal/mol of atoms): 6.55

```
data_LiTaCd
_space_group_name_H-M_alt 'C 1 2/m 1'
_space_group_IT_number 12
_space_group_name_Hall '-C 2y'
_cell_length_a 11.6223
_cell_length_b 3.0708
_cell_length_c 6.3999
_cell_angle_alpha 90.00
_cell_angle_beta 109.08
_cell_angle_gamma 90.00
loop_
_atom_site_label
_atom_site_type_symbol
_atom_site_fract_x
_atom_site_fract_y
_atom_site_fract_z
Li1 Li 0.0000 0.0000 0.0000
Li2 Li 0.0000 0.0000 0.5000
Ta1 Ta 0.1754 0.5000 0.3465
Cd1 Cd 0.1451 0.5000 0.8277
```



Record 4
An optimized crystal structure of Li2TaCd2, computed with PBE.

Output
Formation energy (kcal/mol of atoms): 3.47

```
data_Li2TaCd2
_space_group_name_H-M_alt 'P 4/m b m'
_space_group_IT_number 127
_space_group_name_Hall '-P 4 2ab'
_cell_length_a 7.8275
_cell_length_b 7.8275
_cell_length_c 2.8004
_cell_angle_alpha 90.00
_cell_angle_beta 90.00
_cell_angle_gamma 90.00
loop_
_atom_site_label
_atom_site_type_symbol
_atom_site_fract_x
_atom_site_fract_y
_atom_site_fract_z
Li1 Li 0.1184 0.3816 0.0000
Ta1 Ta 0.0000 0.0000 0.0000
Cd1 Cd 0.1822 0.6822 0.5000
```



Record 5
An optimized crystal structure of LiTaCd2, computed with PBE.

Output
Formation energy (kcal/mol of atoms): 15.13

```
data_LiTaCd2
_space_group_name_H-M_alt 'I -4 2 d'
_space_group_IT_number 122
_space_group_name_Hall 'I -4 2bw'
_cell_length_a 7.2737
_cell_length_b 7.2737
_cell_length_c 5.9172
_cell_angle_alpha 90.00
_cell_angle_beta 90.00
_cell_angle_gamma 90.00
loop_
_atom_site_label
_atom_site_type_symbol
_atom_site_fract_x
_atom_site_fract_y
_atom_site_fract_z
Li1 Li 0.0000 0.0000 0.0000
Ta1 Ta 0.0000 0.0000 0.5000
Cd1 Cd 0.2196 0.2500 0.1250
```



Record 6
An optimized crystal structure of LiTa2Cd, computed with PBE.

Output
Formation energy (kcal/mol of atoms): 6.85

```
data_LiTa2Cd
_space_group_name_H-M_alt 'P 1 2/m 1'
_space_group_IT_number 10
_space_group_name_Hall '-P 2y'
_cell_length_a 2.8250
_cell_length_b 5.1141
_cell_length_c 5.0874
_cell_angle_alpha 90.00
_cell_angle_beta 100.27
_cell_angle_gamma 90.00
loop_
_atom_site_label
_atom_site_type_symbol
_atom_site_fract_x
_atom_site_fract_y
_atom_site_fract_z
Li1 Li 0.0000 0.0000 0.0000
Ta1 Ta 0.2297 0.5000 0.7589
Cd1 Cd 0.5000 0.0000 0.5000
```



Record 7
An optimized crystal structure of LiTa2Cd, computed with PBE.

Output
Formation energy (kcal/mol of atoms): 6.43

```
data_LiTa2Cd
_space_group_name_H-M_alt 'I m m m'
_space_group_IT_number 71
_space_group_name_Hall '-I 2 2'
_cell_length_a 3.1352
_cell_length_b 4.4671
_cell_length_c 10.2631
_cell_angle_alpha 90.00
_cell_angle_beta 90.00
_cell_angle_gamma 90.00
loop_
_atom_site_label
_atom_site_type_symbol
_atom_site_fract_x
_atom_site_fract_y
_atom_site_fract_z
Li1 Li 0.0000 0.0000 0.0000
Ta1 Ta 0.0000 0.5000 0.2488
Cd1 Cd 0.0000 0.0000 0.5000
```



Record 8
An optimized crystal structure of Li2TaCd, computed with PBE.

Output
Formation energy (kcal/mol of atoms): 13.50

```
data_Li2TaCd
_space_group_name_H-M_alt 'I 4/m m m'
_space_group_IT_number 139
_space_group_name_Hall '-I 4 2'
_cell_length_a 4.1120
_cell_length_b 4.1120
_cell_length_c 8.5055
_cell_angle_alpha 90.00
_cell_angle_beta 90.00
_cell_angle_gamma 90.00
loop_
_atom_site_label
_atom_site_type_symbol
_atom_site_fract_x
_atom_site_fract_y
_atom_site_fract_z
Li1 Li 0.0000 0.5000 0.2500
Ta1 Ta 0.0000 0.0000 0.0000
Cd1 Cd 0.0000 0.0000 0.5000
```



Record 9
An optimized crystal structure of LiTaCd2, computed with PBE.

Output
Formation energy (kcal/mol of atoms): 3.48

```
data_LiTaCd2
_space_group_name_H-M_alt 'C m m m'
_space_group_IT_number 65
_space_group_name_Hall '-C 2 2'
_cell_length_a 6.3867
_cell_length_b 8.5581
_cell_length_c 2.8052
_cell_angle_alpha 90.00
_cell_angle_beta 90.00
_cell_angle_gamma 90.00
loop_
_atom_site_label
_atom_site_type_symbol
_atom_site_fract_x
_atom_site_fract_y
_atom_site_fract_z
Li1 Li 0.0000 0.0000 0.0000
Ta1 Ta 0.0000 0.5000 0.0000
Cd1 Cd 0.2500 0.2500 0.5000
```



Record 10
An optimized crystal structure of LiTaCd, computed with PBE.

Output
Formation energy (kcal/mol of atoms): 4.61

```
data_LiTaCd
_space_group_name_H-M_alt 'P 1 m 1'
_space_group_IT_number 6
_space_group_name_Hall 'P -2y'
_cell_length_a 2.9828
_cell_length_b 5.0980
_cell_length_c 7.6436
_cell_angle_alpha 90.00
_cell_angle_beta 101.35
_cell_angle_gamma 90.00
loop_
_atom_site_label
_atom_site_type_symbol
_atom_site_fract_x
_atom_site_fract_y
_atom_site_fract_z
Li1 Li 0.0000 0.0000 0.0000
Li2 Li 0.3292 0.0000 0.6548
Ta1 Ta 0.1932 0.5000 0.3864
Ta2 Ta 0.5445 0.5000 0.0856
Cd1 Cd 0.6585 0.0000 0.3168
Cd2 Cd 0.8713 0.5000 0.7395
```



Record 11
An optimized crystal structure of Li2TaCd, computed with PBE.

Output
Formation energy (kcal/mol of atoms): 7.75

```
data_Li2TaCd
_space_group_name_H-M_alt 'P m m m'
_space_group_IT_number 47
_space_group_name_Hall '-P 2 2'
_cell_length_a 2.7700
_cell_length_b 5.0807
_cell_length_c 5.2168
_cell_angle_alpha 90.00
_cell_angle_beta 90.00
_cell_angle_gamma 90.00
loop_
_atom_site_label
_atom_site_type_symbol
_atom_site_fract_x
_atom_site_fract_y
_atom_site_fract_z
Li1 Li 0.0000 0.0000 0.0000
Li2 Li 0.5000 0.0000 0.5000
Ta1 Ta 0.0000 0.5000 0.5000
Cd1 Cd 0.5000 0.5000 0.0000
```



Record 12
An optimized crystal structure of Li2TaCd, computed with PBE.

Output
Formation energy (kcal/mol of atoms): 12.22

```
data_Li2TaCd
_space_group_name_H-M_alt 'I -4 m 2'
_space_group_IT_number 119
_space_group_name_Hall 'I -4 -2'
_cell_length_a 4.6323
_cell_length_b 4.6323
_cell_length_c 6.4859
_cell_angle_alpha 90.00
_cell_angle_beta 90.00
_cell_angle_gamma 90.00
loop_
_atom_site_label
_atom_site_type_symbol
_atom_site_fract_x
_atom_site_fract_y
_atom_site_fract_z
Li1 Li 0.0000 0.0000 0.0000
Li2 Li 0.0000 0.5000 0.2500
Ta1 Ta 0.0000 0.0000 0.5000
Cd1 Cd 0.0000 0.5000 0.7500
```